VASP calculation (PBE-GGA) on an optimized crystal structure of MgCdFe2.

Properties
The calculation puts the total moment at 5.2 μB per formula unit. For the energy of formation, the calculation gives 0.370 eV per atom. The space group is R-3m. For the density of states at the Fermi level, the calculation gives 0.981 states/eV/atom.

a = 9.3824 Å, b = 9.3824 Å, c = 9.3824 Å
α = 17.33°, β = 17.33°, γ = 17.33°
Closest atoms and distances in Å follow each position.
Atoms (fractional coordinates):
Fe 0.5017 0.5017 0.5017  3 Mg 2.79, 6 Fe 2.83, 3 Cd 2.87
Mg 0.2500 0.2500 0.2500  6 Fe 2.79, 6 Mg 2.83
Fe 0.9983 0.9983 0.9983  3 Mg 2.79, 6 Fe 2.83, 3 Cd 2.87
Cd 0.7500 0.7500 0.7500  6 Cd 2.83, 6 Fe 2.87

***

VASP calculation (PBE-GGA) on an optimized crystal structure of Mg2CdFe2.

Properties
The calculation puts the total moment at 3.9 μB per formula unit. For the energy of formation, the calculation gives 0.254 eV per atom. The space group is P4/mbm. For the density of states at the Fermi level, the calculation gives 0.683 states/eV/atom.

a = 6.8307 Å, b = 6.8307 Å, c = 3.7038 Å
α = 90.00°, β = 90.00°, γ = 90.00°
Closest atoms and distances in Å follow each position.
Atoms (fractional coordinates):
Cd 0.0000 0.0000 0.0000  4 Fe 2.75
Mg 0.3250 0.1750 0.5000  6 Fe 2.74-2.76
Fe 0.3868 0.8868 0.0000  1 Fe 2.19
Mg 0.8250 0.3250 0.5000  6 Fe 2.74-2.76
Fe 0.6132 0.1132 0.0000  1 Fe 2.19
Mg 0.6750 0.8250 0.5000  6 Fe 2.74-2.76
Fe 0.1132 0.3868 0.0000  1 Fe 2.19
Cd 0.5000 0.5000 0.0000  4 Fe 2.75
Mg 0.1750 0.6750 0.5000  6 Fe 2.74-2.76
Fe 0.8868 0.6132 0.0000  1 Fe 2.19